Entry 1:
Zn2Cd5Au12: optimized geometry, GGA-PBE.

Calculated values
DFT formation energy = -151 meV/atom
total magnetization = 0.00 μB/atom

a b c (Å): 7.9768 7.9768 6.6710
angles (deg): 90.20 90.20 58.18
Fractional positions:
Zn  0.2145  0.7855  0.0000
Zn  0.7855  0.2145  0.0000
Cd  0.1967  0.1967  0.9824
Cd  0.2586  0.2586  0.4219
Cd  0.5000  0.5000  0.5000
Cd  0.7414  0.7414  0.5781
Cd  0.8033  0.8033  0.0176
Au  0.0520  0.0520  0.2955
Au  0.0831  0.6829  0.3441
Au  0.1521  0.5294  0.7585
Au  0.3171  0.9169  0.6559
Au  0.4042  0.4042  0.1052
Au  0.4706  0.8479  0.2415
Au  0.5294  0.1521  0.7585
Au  0.5958  0.5958  0.8948
Au  0.6829  0.0831  0.3441
Au  0.8479  0.4706  0.2415
Au  0.9169  0.3171  0.6559
Au  0.9480  0.9480  0.7045



Entry 2:
Ba6In2CuO: optimized geometry, GGA-PBE.

Calculated values
raw formation energy = -0.561 eV/atom
total magnetization = 0.00 μB/atom

a b c (Å): 8.2597 11.6584 8.2634
angles (deg): 90.00 90.00 90.00
Fractional positions:
Ba  0.0148  0.2500  0.0163
Ba  0.0156  0.2500  0.4859
Ba  0.2500  0.0147  0.2507
Ba  0.2500  0.4853  0.2507
Ba  0.4844  0.2500  0.4859
Ba  0.4852  0.2500  0.0163
Ba  0.5148  0.7500  0.9837
Ba  0.5156  0.7500  0.5141
Ba  0.7500  0.5147  0.7493
Ba  0.7500  0.9853  0.7493
Ba  0.9844  0.7500  0.5141
Ba  0.9852  0.7500  0.9837
In  0.2500  0.0000  0.7494
In  0.2500  0.5000  0.7494
In  0.7500  0.0000  0.2506
In  0.7500  0.5000  0.2506
Cu  0.2500  0.7500  0.2495
Cu  0.7500  0.2500  0.7505
O  0.2500  0.2500  0.2503
O  0.7500  0.7500  0.7497



Entry 3:
BaIn2Ni: optimized geometry, GGA-PBE.

Calculated values
DFT formation energy = -229 meV/atom
total magnetization = 0.00 μB/atom

a b c (Å): 6.7457 6.7457 6.7457
angles (deg): 40.01 40.01 40.01
Fractional positions:
Ba  0.0000  0.0000  0.0000
In  0.5363  0.5363  0.5363
In  0.7967  0.7967  0.7967
Ni  0.1803  0.1803  0.1803



Entry 4:
NaBr2F: optimized geometry, GGA-PBE.

Calculated values
raw formation energy = -0.850 eV/atom
total magnetization = 0.00 μB/atom
distance to the lowest polymorph of the same formula = 98.0 meV/atom

a b c (Å): 7.4017 7.4017 7.4017
angles (deg): 37.03 37.03 37.03
Fractional positions:
Na  0.0000  0.0000  0.0000
Br  0.3964  0.3964  0.3964
Br  0.6036  0.6036  0.6036
F  0.5000  0.5000  0.5000



Entry 5:
LuInCoRu: optimized geometry, GGA-PBE.

Calculated values
DFT formation energy = -191 meV/atom
total magnetization = 0.00 μB/atom

a b c (Å): 4.5738 4.5738 4.5738
angles (deg): 60.00 60.00 60.00
Fractional positions:
Lu  0.0000  0.0000  0.0000
In  0.5000  0.5000  0.5000
Co  0.7500  0.7500  0.7500
Ru  0.2500  0.2500  0.2500



Entry 6:
KPd2CN: optimized geometry, GGA-PBE.

Calculated values
raw formation energy = 1.339 eV/atom
total magnetization = 0.42 μB/atom

a b c (Å): 4.0008 4.0008 5.7611
angles (deg): 90.00 90.00 90.00
Fractional positions:
K  0.0000  0.0000  0.0000
Pd  0.0000  0.5000  0.5000
Pd  0.5000  0.0000  0.5000
C  0.5000  0.5000  0.0000
N  0.0000  0.0000  0.5000



Question: What is the total magnetization in the second record?
Answer: 0.00 μB/atom



Question: What is the total magnetization in the sixth record?
Answer: 0.42 μB/atom